(1)
The following is a DFT calculation (PBE) of a relaxed InFeBr2 crystal.

Cell and atoms, written as POSCAR:
```
InFeBr2
1.0
-0.0596 0.8711 -3.2636
-3.3771 -0.0815 0.0399
-0.1789 8.5233 2.2783
In Br Fe
1 2 1
direct
0.5000 0.5000 0.7268
0.5000 0.5000 0.3420
0.0000 0.0000 0.9398
0.0000 0.0000 0.4914
```

**DFT total energy**: -14.6 eV/cell
**Formation energy from raw total energies**: -0.009 eV/atom
**Excess energy over the best structure of this formula in the dataset**: 212 meV per atom
**Total magnetization**: 3.29 μB per cell


(2)
The following is a DFT calculation (PBE) of a relaxed InFeBr3 crystal.

Cell and atoms, written as POSCAR:
```
InFeBr3
1.0
-0.2772 2.0929 -3.0682
-1.4854 -7.4839 -4.9687
-15.3189 1.4603 2.3800
Fe In Br
4 4 12
direct
0.2501 0.6487 0.0493
0.7499 0.3513 0.9507
0.7499 0.8513 0.5493
0.2501 0.1487 0.4507
0.2500 0.4587 0.6700
0.2500 0.9587 0.8300
0.7500 0.5413 0.3300
0.7500 0.0413 0.1700
0.2505 0.7591 0.1941
0.7495 0.7409 0.6941
0.7500 0.9817 0.4120
0.2500 0.5183 0.9120
0.2498 0.6891 0.5034
0.2500 0.0183 0.5880
0.7495 0.2409 0.8059
0.2498 0.1891 0.9966
0.7502 0.8109 0.0034
0.2505 0.2591 0.3059
0.7500 0.4817 0.0880
0.7502 0.3109 0.4966
```

**DFT total energy**: -70.7 eV/cell
**Formation energy from raw total energies**: -0.292 eV/atom
**Total magnetization**: 0.00 μB per cell


(3)
The following is a DFT calculation (PBE) of a relaxed In2FeBr crystal.

Cell and atoms, written as POSCAR:
```
In2FeBr
1.0
5.7734 -0.0193 -0.0229
4.8693 3.1021 -0.0229
2.7205 0.7880 5.3159
Br Fe In
1 1 2
direct
0.5879 0.5879 0.4946
0.1970 0.1970 0.1401
0.7847 0.7847 0.7267
0.9304 0.9304 0.1386
```

**DFT total energy**: -15.0 eV/cell
**Formation energy from raw total energies**: 0.145 eV/atom
**Excess energy over the best structure of this formula in the dataset**: 82 meV per atom
**Total magnetization**: 2.88 μB per cell


- Among the records above, which one has the lowest DFT total energy?
  InFeBr3